This record from Alexandria via LeMat-Bulk describes a geometry-optimized CdTe2Se structure. The functional is PBE-GGA.

The space group is Cm (No. 8) and the conventional cell measures 12.797, 4.311 and 4.311 Å, with angles of 90.00, 109.68 and 90.00 degrees. The distinct sites, in fractional coordinates, are Cd at (0.000, 0.000, 0.000), Te at (0.242, 0.500, 0.739), Te at (0.492, 0.000, 0.491) and Se at (0.238, 0.000, 0.235).

The value obtained for the density is 6.62 g cm⁻³. The calculated total energy is -22.103 eV per cell.